## HfMgGe3 (meta-GGA SCAN)

Data for HfMgGe3 at its PBEsol-relaxed geometry.

Results
Calculated volume: 131.9 Å³/cell
E_tot: -24.568 eV/atom
Total moment: 0.00 μB/cell

Cell: 5.090 5.090 5.090 Å, 90.00 90.00 90.00°
Positions (direct):
Hf 0.000 0.000 0.000
Mg 0.500 0.500 0.500
Ge 0.000 0.000 0.500
Ge 0.000 0.500 0.000
Ge 0.500 0.000 0.000